Record 1
K2In4GaAg3: relaxed, GGA-PBE.

Output
The density of states at the Fermi level is 0.573 states/eV per atom. The space group is P-4m2 (115). As for the crystal system: tetragonal. The value obtained for the energy relative to the elements is -0.07 eV per atom.

abc: 4.822 4.822 11.832
angles: 90.00 90.00 90.00
Element x y z (fractional)
In  0.500  0.500  0.000
In  0.000  0.000  0.000
In  0.500  0.000  0.628
In  0.000  0.500  0.372
K  0.500  0.000  0.256
K  0.000  0.500  0.744
Ga  0.500  0.500  0.500
Ag  0.500  0.000  0.865
Ag  0.000  0.500  0.135
Ag  0.000  0.000  0.500

***

Record 2
La2InGa3Ag4: relaxed, GGA-PBE.

Output
The density of states at the Fermi level is 0.636 states/eV per atom. The space group is P-4m2 (115). As for the crystal system: tetragonal. The value obtained for the energy relative to the elements is -0.37 eV per atom.

abc: 4.500 4.500 11.068
angles: 90.00 90.00 90.00
Element x y z (fractional)
In  0.500  0.500  0.500
Ag  0.500  0.500  0.000
Ag  0.000  0.500  0.357
Ag  0.500  0.000  0.643
Ag  0.000  0.000  0.000
Ga  0.500  0.000  0.872
Ga  0.000  0.000  0.500
Ga  0.000  0.500  0.128
La  0.000  0.500  0.761
La  0.500  0.000  0.239

***

Record 3
La2In4GaAg3: relaxed, GGA-PBE.

Output
The density of states at the Fermi level is 0.571 states/eV per atom. The space group is P-4m2 (115). As for the crystal system: tetragonal. The value obtained for the energy relative to the elements is -0.34 eV per atom.

abc: 4.614 4.614 11.647
angles: 90.00 90.00 90.00
Element x y z (fractional)
In  0.000  0.000  0.000
In  0.000  0.500  0.367
In  0.500  0.500  0.000
In  0.500  0.000  0.633
Ag  0.500  0.000  0.862
Ag  0.000  0.000  0.500
Ag  0.000  0.500  0.138
Ga  0.500  0.500  0.500
La  0.000  0.500  0.743
La  0.500  0.000  0.257

***

Record 4
Li2InGaAg: relaxed, GGA-PBE.

Output
The density of states at the Fermi level is 0.650 states/eV per atom. The space group is P4/mmm (123). As for the crystal system: tetragonal. The value obtained for the energy relative to the elements is 0.35 eV per atom.

abc: 5.163 5.183 5.163
angles: 90.00 90.00 90.00
Element x y z (fractional)
Ga  0.500  0.500  0.500
In  0.000  0.000  0.000
Li  0.500  0.000  0.000
Li  0.000  0.000  0.500
Ag  0.000  0.500  0.000

***

Record 5
MgInGaAg: relaxed, GGA-PBE.

Output
The density of states at the Fermi level is 0.493 states/eV per atom. As for the energy above the most stable polymorph in this dataset: 0.146 eV/f.u. The space group is F-43m (216). As for the crystal system: cubic. The value obtained for the energy relative to the elements is -0.03 eV per atom.

abc: 4.900 4.900 4.900
angles: 60.00 60.00 60.00
Element x y z (fractional)
Ag  0.250  0.250  0.250
Ga  0.750  0.750  0.750
Mg  0.500  0.500  0.500
In  0.000  0.000  0.000

***

Record 6
MgInGaAg: relaxed, GGA-PBE.

Output
The density of states at the Fermi level is 0.408 states/eV per atom. As for the energy above the most stable polymorph in this dataset: 0.000 eV/f.u. The space group is Cm (8). As for the crystal system: monoclinic. The value obtained for the energy relative to the elements is -0.07 eV per atom.

abc: 4.478 4.582 5.588
angles: 115.68 90.00 119.25
Element x y z (fractional)
Ag  0.856  0.713  0.298
In  0.058  0.117  0.895
Ga  0.480  0.960  0.164
Mg  0.268  0.535  0.542

***

Record 7
Mg2InGaAg: relaxed, GGA-PBE.

Output
The density of states at the Fermi level is 0.316 states/eV per atom. The space group is P2_1/m (11). As for the crystal system: monoclinic. The value obtained for the energy relative to the elements is -0.08 eV per atom.

abc: 4.222 7.159 6.788
angles: 88.40 90.00 90.00
Element x y z (fractional)
Mg  0.750  0.829  0.534
Mg  0.250  0.352  0.043
Mg  0.750  0.648  0.957
Mg  0.250  0.171  0.466
Ga  0.250  0.552  0.649
Ga  0.750  0.448  0.351
In  0.750  0.054  0.159
In  0.250  0.946  0.841
Ag  0.750  0.279  0.751
Ag  0.250  0.721  0.249

***

Record 8
NbIn2GaAg: relaxed, GGA-PBE.

Output
The density of states at the Fermi level is 0.928 states/eV per atom. The space group is P4/mmm (123). As for the crystal system: tetragonal. The value obtained for the energy relative to the elements is 0.95 eV per atom.

abc: 5.250 4.763 5.250
angles: 90.00 90.00 90.00
Element x y z (fractional)
Ag  0.000  0.000  0.000
In  0.000  0.000  0.500
In  0.500  0.000  0.000
Nb  0.500  0.500  0.500
Ga  0.000  0.500  0.000

***

Repeat the sixth record exactly.
MgInGaAg: relaxed, GGA-PBE.

Output
The density of states at the Fermi level is 0.408 states/eV per atom. As for the energy above the most stable polymorph in this dataset: 0.000 eV/f.u. The space group is Cm (8). As for the crystal system: monoclinic. The value obtained for the energy relative to the elements is -0.07 eV per atom.

abc: 4.478 4.582 5.588
angles: 115.68 90.00 119.25
Element x y z (fractional)
Ag  0.856  0.713  0.298
In  0.058  0.117  0.895
Ga  0.480  0.960  0.164
Mg  0.268  0.535  0.542